1.
CsPH2 | PBE | relaxed

Results
Polymorph energy (0 for the lowest one)   0.362 eV per atom
Spin magnetization   0.0000 μB/atom

Cell lengths 6.355, 6.355, 6.355 Å; angles 131.68, 131.68, 70.73 degrees
Fractional coordinates of all 8 atoms:
Cs  0.375  0.625  0.750
Cs  0.625  0.375  0.250
P  0.125  0.875  0.250
P  0.875  0.125  0.750
H  0.000  0.000  0.000
H  0.000  0.000  0.500
H  0.000  0.500  0.000
H  0.500  0.000  0.500

---

2.
Cs4Te2H | PBE | relaxed

Results
Calculated total energy   -0.1848 Ry/atom
Spin magnetization   0.1554 μB/atom

Cell lengths 10.676, 10.676, 10.676 Å; angles 148.05, 148.05, 45.81 degrees
Fractional coordinates of all 7 atoms:
Cs  0.000  0.500  0.500
Cs  0.172  0.172  0.000
Cs  0.500  0.000  0.500
Cs  0.828  0.828  0.000
Te  0.367  0.367  0.000
Te  0.633  0.633  0.000
H  0.000  0.000  0.000

---

3.
BaYCr2Ir | PBE | relaxed

Results
Calculated total energy   -0.3852 Ry/atom
Spin magnetization   1.2958 μB/atom

Cell lengths 4.856, 4.856, 5.843 Å; angles 90.00, 90.00, 90.00 degrees
Fractional coordinates of all 5 atoms:
Ba  0.000  0.000  0.000
Y  0.000  0.000  0.500
Cr  0.000  0.500  0.500
Cr  0.500  0.000  0.500
Ir  0.500  0.500  0.000